A relaxed TaNiW2 crystal. Source: the Alexandria database, functional PBE.

* energy of formation from the pure elements: 13.4 kJ/mol of atoms
* uncorrected energy: -42.98 eV per cell

Cell: 2.7126 4.5608 5.0886 Å, 90.00 98.33 90.00°
Closest atoms and distances in Å follow each position.
Fractional positions:
1 Ta 0.0000 0.0000 0.0000  2 Ni 2.70, 2 Ta 2.71, 4 W 2.76
2 Ni 0.5000 0.0000 0.5000  2 Ta 2.70, 2 Ni 2.71, 4 W 2.73
3 W 0.2632 0.5000 0.7492  5 W 2.69-3.00, 2 Ni 2.73, 2 Ta 2.76
4 W 0.7368 0.5000 0.2508  5 W 2.69-3.00, 2 Ni 2.73, 2 Ta 2.76


A relaxed UNiOs crystal. Source: the Alexandria database, functional PBE.

* energy of formation from the pure elements: 12.5 kJ/mol of atoms
* uncorrected energy: -27.91 eV per cell

Cell: 5.6964 5.6964 5.6964 Å, 149.11 149.11 44.25°
Closest atoms and distances in Å follow each position.
Fractional positions:
1 U 0.0000 0.0000 0.0000  4 Os 2.82, 4 Ni 2.87, 4 U 3.03
2 Ni 0.6811 0.6811 0.0000  4 Os 2.64, 4 U 2.87
3 Os 0.3265 0.3265 0.0000  4 Ni 2.64, 4 U 2.82


> Which of these has the lowest uncorrected energy?

TaNiW2


> Which formula does entry 1 have?

TaNiW2


> uncorrected energy of number 1 (TaNiW2)?

-42.98 eV per cell


> The highest energy of formation from the pure elements belongs to which entry?

TaNiW2